[1]
PBE-GGA Mg3AsN, optimized geometry; theoretical density = 3.14 g/cm³; SG = R-3 (148); formation energy (no corrections) = -266 kJ/mol of formula units
1.0
3.4184 0.0000 5.6409
-1.7092 2.9604 5.6409
-1.7092 -2.9604 5.6409
As Mg N
2 6 2
Direct
0.3708 0.3708 0.3708
0.6292 0.6292 0.6292
0.4380 0.0095 0.8322
0.0095 0.8322 0.4380
0.1678 0.5620 0.9905
0.9905 0.1678 0.5620
0.5620 0.9905 0.1678
0.8322 0.4380 0.0095
0.1582 0.1582 0.1582
0.8418 0.8418 0.8418

[2]
PBE-GGA La2GeP3Pd4, optimized geometry; ΔE_f = -958 meV/atom; theoretical density = 7.80 g/cm³; SG = P-4m2 (115)
1.0
-1.2495 4.1045 -0.1780
-4.0756 -1.2149 0.5950
1.2115 0.7994 9.9304
La Ge P Pd
2 1 3 4
Direct
0.5000 0.0000 0.2465
0.0000 0.5000 0.7535
0.5000 0.5000 0.5000
0.0000 0.0000 0.5000
0.5000 0.0000 0.8674
0.0000 0.5000 0.1326
0.5000 0.5000 0.0000
0.0000 0.0000 0.0000
0.5000 0.0000 0.6282
0.0000 0.5000 0.3718

[3]
PBE-GGA Mg2OsCl, optimized geometry; theoretical density = 5.46 g/cm³; energy above the most stable polymorph in this dataset = 562 meV per atom; SG = P4mm (99); formation energy (no corrections) = 101 kJ/mol of formula units
1.0
-2.8824 0.3075 -0.2409
-0.3116 -2.8918 0.0366
-0.7994 0.2104 9.8311
Cl Mg Os
1 2 1
Direct
0.5000 0.5000 0.8305
0.0000 0.0000 0.9796
0.5000 0.5000 0.2499
0.0000 0.0000 0.4399

[4]
PBE-GGA SrSb2, optimized geometry; theoretical density = 5.69 g/cm³; SG = Cm (8); formation energy (no corrections) = -161 kJ/mol of formula units
1.0
4.3721 -3.4587 -3.2551
5.5398 -2.7652 1.8269
-1.3452 -6.3198 1.1715
Sr Sb
2 4
Direct
0.9983 0.9983 0.4734
0.7394 0.7394 0.0845
0.0546 0.0546 0.9429
0.6286 0.6286 0.6656
0.3856 0.3856 0.2661
0.3601 0.3601 0.7341

[5]
PBE-GGA Na2AgBiO4, optimized geometry; theoretical density = 6.01 g/cm³; SG = P2/m (10); formation energy (no corrections) = -777 kJ/mol of formula units
1.0
3.3469 0.0000 0.0000
0.0000 6.5285 -0.3001
0.0000 -2.6614 5.5174
Na Ag Bi O
2 1 1 4
Direct
0.5000 0.0000 0.5000
0.0000 0.5000 0.5000
0.0000 0.0000 0.0000
0.5000 0.5000 0.0000
0.5000 0.2589 0.1580
0.5000 0.7411 0.8420
0.0000 0.2958 0.7383
0.0000 0.7042 0.2617

[6]
PBE-GGA Ba4SrCd, optimized geometry; ΔE_f = 265 meV/atom; theoretical density = 3.65 g/cm³; energy above the most stable polymorph in this dataset = 363 meV per atom; SG = F-43m (216)
1.0
0.0000 5.5470 5.5470
5.5470 0.0000 5.5470
5.5470 5.5470 0.0000
Ba Sr Cd
4 1 1
Direct
0.8729 0.3757 0.3757
0.3757 0.3757 0.8729
0.3757 0.8729 0.3757
0.3757 0.3757 0.3757
0.0000 0.0000 0.0000
0.7500 0.7500 0.7500

[7]
PBE-GGA SmScInPd, optimized geometry; ΔE_f = -550 meV/atom; theoretical density = 7.46 g/cm³; SG = F-43m (216)
1.0
-0.3827 4.3865 -2.5340
-1.7278 0.0313 -4.7773
-4.5778 1.9458 -1.0328
Sc Pd Sm In
1 1 1 1
Direct
0.0000 0.0000 0.0000
0.7500 0.7500 0.7500
0.5000 0.5000 0.5000
0.2500 0.2500 0.2500

[8]
PBE-GGA WSe5, optimized geometry; theoretical density = 6.20 g/cm³; energy above the most stable polymorph in this dataset = 0 meV per atom; SG = Amm2 (38); formation energy (no corrections) = 27 kJ/mol of formula units
1.0
1.7491 -8.4103 0.0000
1.7491 8.4103 0.0000
0.0000 0.0000 5.2669
W Se
1 5
Direct
0.0441 0.9559 0.5000
0.0247 0.9753 0.0000
0.3969 0.6031 0.0000
0.7904 0.2096 0.0000
0.4296 0.5704 0.5000
0.6476 0.3524 0.5000

[9]
PBE-GGA CsRb2GaF6, optimized geometry; theoretical density = 3.99 g/cm³; energy above the most stable polymorph in this dataset = 0 meV per atom; SG = P2_1/c (14); formation energy (no corrections) = -2686 kJ/mol of formula units
1.0
-6.3995 0.4741 -0.8942
0.2152 -5.2350 -4.3155
-1.4346 -5.8369 7.0090
Cs Rb Ga F
2 4 2 12
Direct
0.5000 0.0000 0.0000
0.0000 0.5000 0.5000
0.0132 0.9575 0.2564
0.5132 0.5425 0.7564
0.9868 0.0425 0.7436
0.4868 0.4575 0.2436
0.5000 0.0000 0.5000
0.0000 0.5000 0.0000
0.2429 0.6585 0.0351
0.7429 0.8415 0.5351
0.7571 0.3415 0.9649
0.2571 0.1585 0.4649
0.3534 0.7692 0.4267
0.8534 0.7308 0.9267
0.6466 0.2308 0.5733
0.1466 0.2692 0.0733
0.9010 0.5607 0.1935
0.4010 0.9393 0.6935
0.0990 0.4393 0.8065
0.5990 0.0607 0.3065

[10]
PBE-GGA VInRh2, optimized geometry; ΔE_f = -240 meV/atom; theoretical density = 9.88 g/cm³; SG = P4/mmm (123)
1.0
3.1791 0.0000 0.0000
0.0000 4.4327 0.0000
0.0000 0.0000 4.4327
V Rh In
1 2 1
Direct
0.5000 0.5000 0.5000
0.0000 0.0000 0.5000
0.0000 0.5000 0.0000
0.5000 0.0000 0.0000

[11]
PBE-GGA TmHfTe, optimized geometry; theoretical density = 9.76 g/cm³; energy above the most stable polymorph in this dataset = 0 meV per atom; SG = P4/nmm (129); formation energy (no corrections) = -198 kJ/mol of formula units
1.0
-1.6726 -1.9737 3.0864
-2.7130 -1.6128 -2.5015
6.0927 -7.7165 -1.6328
Te Tm Hf
2 2 2
Direct
0.0000 0.5000 0.6317
0.5000 0.0000 0.3683
0.5000 0.0000 0.7350
0.0000 0.5000 0.2650
0.0000 0.5000 0.9416
0.5000 0.0000 0.0584

[12]
PBE-GGA NaFeSiH2, optimized geometry; theoretical density = 2.31 g/cm³; raw total energy = -3.263 eV per atom; SG = P4/mmm (123)
1.0
-0.7450 -3.1288 -1.7551
4.1138 -2.7320 3.1242
-2.4933 -0.8372 2.5509
Na Si Fe H
1 1 1 2
Direct
0.0000 0.5000 0.0000
0.0000 0.0000 0.0000
0.5000 0.5000 0.5000
0.0000 0.0000 0.5000
0.5000 0.0000 0.0000